Record 1
Computed, not measured: a relaxed HfV2NiPb crystal at the PBE level of DFT.

a = 4.491 Å, b = 4.726 Å, c = 4.491 Å
α = 90.00°, β = 90.00°, γ = 90.00°
Positions (direct):
Pb  0.000  0.500  0.000
V  0.000  0.000  0.500
V  0.500  0.000  0.000
Hf  0.500  0.500  0.500
Ni  0.000  0.000  0.000

Calculated formation energy (kJ/mol of formula units): 388
Space group: P4/mmm, No. 123
Calculated volume (Å³ per atom): 19.1
DOS(E_F) (states/eV per cell): 6.981
Magnetic moment (μB/cell): 0.00

Record 2
Computed, not measured: a relaxed HfZnNi2Pb crystal at the PBE level of DFT.

a = 4.666 Å, b = 5.710 Å, c = 4.666 Å
α = 90.00°, β = 90.00°, γ = 90.00°
Positions (direct):
Pb  0.000  0.500  0.000
Ni  0.000  0.000  0.500
Zn  0.500  0.500  0.500
Ni  0.500  0.000  0.000
Hf  0.000  0.000  0.000

Calculated formation energy (kJ/mol of formula units): 518
Space group: P4/mmm, No. 123
Calculated volume (Å³ per atom): 24.9
DOS(E_F) (states/eV per cell): 4.495
Magnetic moment (μB/cell): 0.00

Record 3
Computed, not measured: a relaxed Hf2NiPd2 crystal at the PBE level of DFT.

a = 7.366 Å, b = 7.366 Å, c = 3.374 Å
α = 90.00°, β = 90.00°, γ = 90.00°
Positions (direct):
Pd  0.133  0.633  0.500
Hf  0.833  0.667  0.000
Ni  0.500  0.500  0.000
Pd  0.633  0.867  0.500
Ni  0.000  0.000  0.000
Hf  0.333  0.833  0.000
Pd  0.367  0.133  0.500
Hf  0.167  0.333  0.000
Pd  0.867  0.367  0.500
Hf  0.667  0.167  0.000

Distance to the lowest polymorph of the same formula (kJ per mole of atoms): 27.89
Calculated formation energy (kJ/mol of formula units): -132
Space group: P4/mbm, No. 127
Calculated volume (Å³ per atom): 18.3
DOS(E_F) (states/eV per cell): 3.629
Magnetic moment (μB/cell): 0.00

Record 4
Computed, not measured: a relaxed HfNiPd4 crystal at the PBE level of DFT.

a = 4.347 Å, b = 4.880 Å, c = 9.484 Å
α = 90.00°, β = 103.25°, γ = 90.00°
Positions (direct):
Pd  0.533  0.416  0.067
Pd  0.054  0.742  0.107
Hf  0.869  0.736  0.738
Pd  0.325  0.040  0.651
Pd  0.467  0.916  0.933
Hf  0.131  0.236  0.262
Ni  0.603  0.962  0.206
Pd  0.262  0.538  0.524
Ni  0.397  0.462  0.794
Pd  0.738  0.038  0.476
Pd  0.946  0.242  0.893
Pd  0.675  0.540  0.349

Calculated formation energy (kJ/mol of formula units): -176
Space group: Cmc2_1, No. 36
Calculated volume (Å³ per atom): 16.3
DOS(E_F) (states/eV per cell): 5.622
Magnetic moment (μB/cell): 0.00

Record 5
Computed, not measured: a relaxed Hf2Ni2Pd crystal at the PBE level of DFT.

a = 6.939 Å, b = 6.939 Å, c = 3.291 Å
α = 90.00°, β = 90.00°, γ = 90.00°
Positions (direct):
Ni  0.875  0.625  0.000
Pd  0.000  0.000  0.000
Ni  0.375  0.875  0.000
Hf  0.826  0.326  0.500
Hf  0.174  0.674  0.500
Pd  0.500  0.500  0.000
Hf  0.674  0.826  0.500
Ni  0.625  0.125  0.000
Ni  0.125  0.375  0.000
Hf  0.326  0.174  0.500

Distance to the lowest polymorph of the same formula (kJ per mole of atoms): 0.00
Calculated formation energy (kJ/mol of formula units): -296
Space group: P4/mbm, No. 127
Calculated volume (Å³ per atom): 15.8
DOS(E_F) (states/eV per cell): 7.768
Magnetic moment (μB/cell): 0.00

Record 6
Computed, not measured: a relaxed HfNi2Pd crystal at the PBE level of DFT.

a = 4.322 Å, b = 4.322 Å, c = 4.322 Å
α = 60.00°, β = 60.00°, γ = 60.00°
Positions (direct):
Ni  0.750  0.750  0.750
Ni  0.250  0.250  0.250
Pd  0.000  0.000  0.000
Hf  0.500  0.500  0.500

Calculated formation energy (kJ/mol of formula units): -170
Space group: Fm-3m, No. 225
Calculated volume (Å³ per atom): 14.3
DOS(E_F) (states/eV per cell): 3.654
Magnetic moment (μB/cell): 0.00

Record 7
Computed, not measured: a relaxed HfNi2Pd crystal at the PBE level of DFT.

a = 6.842 Å, b = 6.842 Å, c = 5.506 Å
α = 51.59°, β = 51.59°, γ = 90.00°
Positions (direct):
Ni  0.875  0.875  0.750
Pd  0.250  0.750  0.500
Ni  0.125  0.625  0.250
Pd  0.500  0.500  0.000
Hf  0.000  0.000  0.000
Ni  0.625  0.125  0.250
Ni  0.375  0.375  0.750
Hf  0.750  0.250  0.500

Calculated formation energy (kJ/mol of formula units): -44
Space group: I-42d, No. 122
Calculated volume (Å³ per atom): 15.4
DOS(E_F) (states/eV per cell): 1.901
Magnetic moment (μB/cell): 0.00

Record 8
Computed, not measured: a relaxed Hf3NiPd crystal at the PBE level of DFT.

a = 4.748 Å, b = 4.748 Å, c = 4.748 Å
α = 90.00°, β = 90.00°, γ = 90.00°
Positions (direct):
Pd  0.500  0.500  0.500
Ni  0.000  0.000  0.000
Hf  0.000  0.500  0.000
Hf  0.000  0.000  0.500
Hf  0.500  0.000  0.000

Distance to the lowest polymorph of the same formula (kJ per mole of atoms): 59.95
Calculated formation energy (kJ/mol of formula units): 101
Space group: Pm-3m, No. 221
Calculated volume (Å³ per atom): 21.4
DOS(E_F) (states/eV per cell): 8.287
Magnetic moment (μB/cell): 0.00

Record 9
Computed, not measured: a relaxed Hf6NiPd3 crystal at the PBE level of DFT.

a = 5.359 Å, b = 8.171 Å, c = 8.960 Å
α = 90.00°, β = 89.99°, γ = 90.00°
Positions (direct):
Ni  0.500  0.500  0.500
Pd  0.357  0.095  0.260
Pd  0.500  0.500  0.000
Pd  0.000  0.000  0.500
Ni  0.000  0.000  0.000
Hf  0.401  0.829  0.039
Hf  0.644  0.402  0.259
Hf  0.901  0.671  0.539
Hf  0.089  0.310  0.057
Pd  0.857  0.405  0.760
Hf  0.856  0.902  0.241
Hf  0.599  0.171  0.961
Pd  0.143  0.595  0.240
Hf  0.911  0.690  0.943
Hf  0.411  0.810  0.443
Hf  0.589  0.190  0.557
Hf  0.356  0.598  0.741
Hf  0.144  0.098  0.759
Pd  0.643  0.905  0.740
Hf  0.099  0.329  0.461

Calculated formation energy (kJ/mol of formula units): -246
Space group: P2_1/c, No. 14
Calculated volume (Å³ per atom): 19.6
DOS(E_F) (states/eV per cell): 19.505
Magnetic moment (μB/cell): 0.00

Record 10
Computed, not measured: a relaxed Hf2NiPd2 crystal at the PBE level of DFT.

a = 7.161 Å, b = 7.161 Å, c = 3.454 Å
α = 90.00°, β = 90.00°, γ = 90.00°
Positions (direct):
Hf  0.826  0.326  0.500
Pd  0.133  0.367  0.000
Hf  0.326  0.174  0.500
Ni  0.500  0.500  0.000
Ni  0.000  0.000  0.000
Pd  0.867  0.633  0.000
Pd  0.367  0.867  0.000
Pd  0.633  0.133  0.000
Hf  0.674  0.826  0.500
Hf  0.174  0.674  0.500

Distance to the lowest polymorph of the same formula (kJ per mole of atoms): 11.44
Calculated formation energy (kJ/mol of formula units): -214
Space group: P4/mbm, No. 127
Calculated volume (Å³ per atom): 17.7
DOS(E_F) (states/eV per cell): 9.514
Magnetic moment (μB/cell): 0.00

Record 11
Computed, not measured: a relaxed Hf3NiPd crystal at the PBE level of DFT.

a = 3.323 Å, b = 7.242 Å, c = 7.959 Å
α = 92.22°, β = 89.98°, γ = 103.25°
Positions (direct):
Hf  0.068  0.169  0.430
Pd  0.621  0.275  0.160
Hf  0.424  0.881  0.650
Ni  0.816  0.665  0.801
Hf  0.620  0.273  0.772
Hf  0.976  0.985  0.992
Ni  0.228  0.489  0.621
Pd  0.423  0.879  0.261
Hf  0.782  0.597  0.396
Hf  0.262  0.557  0.025

Distance to the lowest polymorph of the same formula (kJ per mole of atoms): 0.00
Calculated formation energy (kJ/mol of formula units): -199
Space group: C2/m, No. 12
Calculated volume (Å³ per atom): 18.6
DOS(E_F) (states/eV per cell): 10.595
Magnetic moment (μB/cell): 0.00

Record 12
Computed, not measured: a relaxed Hf4NiPd crystal at the PBE level of DFT.

a = 3.162 Å, b = 5.500 Å, c = 13.342 Å
α = 90.29°, β = 90.00°, γ = 90.00°
Positions (direct):
Hf  0.000  0.661  0.343
Hf  0.000  0.673  0.841
Hf  0.500  0.839  0.157
Pd  0.500  0.500  0.000
Ni  0.500  0.500  0.500
Pd  0.000  0.000  0.500
Ni  0.000  0.000  0.000
Hf  0.500  0.161  0.843
Hf  0.000  0.327  0.159
Hf  0.500  0.827  0.659
Hf  0.500  0.173  0.341
Hf  0.000  0.339  0.657

Distance to the lowest polymorph of the same formula (kJ per mole of atoms): 20.38
Calculated formation energy (kJ/mol of formula units): -109
Space group: C2/m, No. 12
Calculated volume (Å³ per atom): 19.3
DOS(E_F) (states/eV per cell): 10.650
Magnetic moment (μB/cell): 0.00

Record 13
Computed, not measured: a relaxed Hf2NiPd2 crystal at the PBE level of DFT.

a = 5.087 Å, b = 5.861 Å, c = 6.971 Å
α = 114.86°, β = 111.40°, γ = 90.00°
Positions (direct):
Pd  0.399  0.053  0.798
Ni  0.250  0.500  0.000
Hf  0.833  0.140  0.666
Pd  0.101  0.255  0.202
Pd  0.601  0.947  0.202
Hf  0.667  0.474  0.334
Ni  0.750  0.500  0.000
Pd  0.899  0.745  0.798
Hf  0.333  0.526  0.666
Hf  0.167  0.860  0.334

Distance to the lowest polymorph of the same formula (kJ per mole of atoms): 0.00
Calculated formation energy (kJ/mol of formula units): -271
Space group: Ibam, No. 72
Calculated volume (Å³ per atom): 17.3
DOS(E_F) (states/eV per cell): 4.953
Magnetic moment (μB/cell): 0.00

Record 14
Computed, not measured: a relaxed HfNiPd2 crystal at the PBE level of DFT.

a = 7.019 Å, b = 7.019 Å, c = 5.650 Å
α = 51.60°, β = 51.60°, γ = 90.00°
Positions (direct):
Ni  0.250  0.750  0.500
Hf  0.000  0.000  0.000
Pd  0.141  0.625  0.250
Pd  0.375  0.391  0.750
Pd  0.609  0.125  0.250
Pd  0.875  0.859  0.750
Ni  0.500  0.500  0.000
Hf  0.750  0.250  0.500

Calculated formation energy (kJ/mol of formula units): -90
Space group: I-42d, No. 122
Calculated volume (Å³ per atom): 16.6
DOS(E_F) (states/eV per cell): 2.253
Magnetic moment (μB/cell): 0.00

Record 15
Computed, not measured: a relaxed Hf4NiPd crystal at the PBE level of DFT.

a = 5.334 Å, b = 6.523 Å, c = 6.523 Å
α = 90.00°, β = 90.00°, γ = 90.00°
Positions (direct):
Hf  0.500  0.170  0.347
Ni  0.750  0.500  0.500
Hf  0.500  0.653  0.170
Hf  0.000  0.347  0.170
Hf  0.500  0.347  0.830
Hf  0.000  0.653  0.830
Hf  0.000  0.170  0.653
Pd  0.750  0.000  0.000
Hf  0.500  0.830  0.653
Pd  0.250  0.000  0.000
Ni  0.250  0.500  0.500
Hf  0.000  0.830  0.347

Distance to the lowest polymorph of the same formula (kJ per mole of atoms): 0.00
Calculated formation energy (kJ/mol of formula units): -231
Space group: P4/mcc, No. 124
Calculated volume (Å³ per atom): 18.9
DOS(E_F) (states/eV per cell): 15.235
Magnetic moment (μB/cell): 0.00

Record 16
Computed, not measured: a relaxed Hf2Ni2Pd crystal at the PBE level of DFT.

a = 7.351 Å, b = 7.351 Å, c = 3.079 Å
α = 90.00°, β = 90.00°, γ = 90.00°
Positions (direct):
Pd  0.500  0.500  0.000
Ni  0.128  0.628  0.500
Hf  0.662  0.162  0.000
Hf  0.338  0.838  0.000
Ni  0.628  0.872  0.500
Ni  0.372  0.128  0.500
Pd  0.000  0.000  0.000
Ni  0.872  0.372  0.500
Hf  0.838  0.662  0.000
Hf  0.162  0.338  0.000

Distance to the lowest polymorph of the same formula (kJ per mole of atoms): 29.90
Calculated formation energy (kJ/mol of formula units): -146
Space group: P4/mbm, No. 127
Calculated volume (Å³ per atom): 16.6
DOS(E_F) (states/eV per cell): 7.503
Magnetic moment (μB/cell): 0.00

Record 17
Computed, not measured: a relaxed HfNi2Pd8 crystal at the PBE level of DFT.

a = 4.547 Å, b = 6.630 Å, c = 6.630 Å
α = 83.64°, β = 78.84°, γ = 78.84°
Last column: magnetic moment on the atom in μB.
Positions (direct):
Pd  0.218  0.847  0.336  0.08
Pd  0.886  0.268  0.268  0.06
Pd  0.704  0.580  0.580  0.08
Pd  0.218  0.336  0.847  0.08
Pd  0.782  0.664  0.153  0.08
Ni  0.546  0.854  0.854  0.43
Pd  0.782  0.153  0.664  0.08
Pd  0.114  0.732  0.732  0.06
Ni  0.454  0.146  0.146  0.43
Hf  0.000  0.000  0.000  -0.05
Pd  0.296  0.420  0.420  0.08

Calculated formation energy (kJ/mol of formula units): 129
Space group: C2/m, No. 12
Calculated volume (Å³ per atom): 17.4
DOS(E_F) (states/eV per cell): 14.972
Magnetic moment (μB/cell): 1.35

Record 18
Computed, not measured: a relaxed HfNi3Pd crystal at the PBE level of DFT.

a = 4.467 Å, b = 4.467 Å, c = 4.467 Å
α = 90.00°, β = 90.00°, γ = 90.00°
Positions (direct):
Ni  0.000  0.500  0.000
Ni  0.500  0.000  0.000
Hf  0.500  0.500  0.500
Pd  0.000  0.000  0.000
Ni  0.000  0.000  0.500

Distance to the lowest polymorph of the same formula (kJ per mole of atoms): 0.00
Calculated formation energy (kJ/mol of formula units): 449
Space group: Pm-3m, No. 221
Calculated volume (Å³ per atom): 17.8
DOS(E_F) (states/eV per cell): 6.864
Magnetic moment (μB/cell): 0.00

Record 19
Computed, not measured: a relaxed HfNi4Pd crystal at the PBE level of DFT.

a = 4.790 Å, b = 4.790 Å, c = 4.790 Å
α = 60.00°, β = 60.00°, γ = 60.00°
Last column: magnetic moment on the atom in μB.
Positions (direct):
Ni  0.625  0.625  0.625  0.22
Pd  0.000  0.000  0.000  0.04
Hf  0.250  0.250  0.250  -0.03
Ni  0.625  0.625  0.124  0.22
Ni  0.124  0.625  0.625  0.22
Ni  0.625  0.124  0.625  0.22

Calculated formation energy (kJ/mol of formula units): -260
Space group: F-43m, No. 216
Calculated volume (Å³ per atom): 12.9
DOS(E_F) (states/eV per cell): 7.772
Magnetic moment (μB/cell): 0.87

Record 20
Computed, not measured: a relaxed Hf2NiPd crystal at the PBE level of DFT.

a = 3.235 Å, b = 3.235 Å, c = 6.588 Å
α = 90.00°, β = 90.00°, γ = 90.00°
Positions (direct):
Hf  0.000  0.000  0.237
Hf  0.000  0.000  0.763
Pd  0.500  0.500  0.500
Ni  0.500  0.500  0.000

Calculated formation energy (kJ/mol of formula units): -203
Space group: P4/mmm, No. 123
Calculated volume (Å³ per atom): 17.2
DOS(E_F) (states/eV per cell): 3.483
Magnetic moment (μB/cell): 0.00